TcPbO2: relaxed, PBE-GGA.

ρ: 9.64 g/cm³
raw total energy: -6.7219 eV/atom
formation energy (no corrections): -0.724 eV per atom
volume: 14.53 Å³/atom

extended XYZ file:
```
4
Lattice="1.739 0.000 7.398 -0.869 1.506 7.398 -0.869 -1.506 7.398" Properties=species:S:1:pos:R:3 pbc="T T T"
Pb 0.000 0.000 0.000
Tc 0.000 0.000 11.096
O 0.000 0.000 19.705
O 0.000 0.000 2.488
```